This record from Alexandria describes a relaxed TlCd11Ag crystal. The functional is GGA-PBE.

Calculated values
Electronic total energy (eV for the cell shown): -15.1
Crystal system: monoclinic
Fermi-level density of states (states/eV/cell): 4.325
E_form (eV per atom): 0.015

The structure in POSCAR format:
```
TlCd11Ag
1.0
3.000 -7.126 0.000
3.000 7.126 0.000
-2.889 0.000 7.158
Tl Cd Ag
1 11 1
Cartesian
0.000 0.000 0.000
-1.444 0.000 3.579
1.500 3.563 0.000
0.091 2.477 2.532
0.132 1.521 5.603
0.091 -2.477 2.532
2.980 1.521 1.555
1.500 -3.563 0.000
0.132 -1.521 5.603
3.021 2.477 4.626
2.980 -1.521 1.555
3.021 -2.477 4.626
1.556 0.000 3.579
```


This record from Alexandria describes a relaxed Nd3Zn3Ga crystal. The functional is GGA-PBE.

Calculated values
Electronic total energy (eV for the cell shown): -23.7
Crystal system: orthorhombic
Fermi-level density of states (states/eV/cell): 6.987
E_form (eV per atom): -0.365

The structure in POSCAR format:
```
Nd3Zn3Ga
1.0
-1.870 2.264 9.969
1.870 -2.264 9.969
1.870 2.264 -9.969
Nd Zn Ga
3 3 1
Cartesian
0.000 0.000 0.000
0.000 0.000 7.602
0.000 2.264 3.818
1.870 0.000 2.493
0.000 0.000 11.064
0.000 0.000 16.486
1.870 0.000 5.071
```


This record from Alexandria describes a relaxed SrCd2In6 crystal. The functional is GGA-PBE.

Calculated values
Electronic total energy (eV for the cell shown): -20.9
Distance to the lowest polymorph of the same formula (eV per atom): 0.0000
Crystal system: tetragonal
Fermi-level density of states (states/eV/cell): 6.046
E_form (eV per atom): -0.105

The structure in POSCAR format:
```
SrCd2In6
1.0
4.780 0.000 0.000
0.000 4.780 0.000
0.000 0.000 11.069
Sr Cd In
1 2 6
Cartesian
0.000 0.000 0.000
2.390 2.390 1.379
2.390 2.390 9.690
0.000 0.000 5.534
0.000 2.390 3.191
0.000 2.390 7.878
2.390 0.000 3.191
2.390 0.000 7.878
2.390 2.390 5.534
```


This record from Alexandria describes a relaxed Cr2Co2W crystal. The functional is GGA-PBE.

Calculated values
Electronic total energy (eV for the cell shown): -91.2
Distance to the lowest polymorph of the same formula (eV per atom): 0.0000
Crystal system: tetragonal
Fermi-level density of states (states/eV/cell): 11.597
E_form (eV per atom): 0.160

The structure in POSCAR format:
```
Cr2Co2W
1.0
6.889 0.000 0.000
0.000 6.889 0.000
0.000 0.000 2.550
Cr Co W
4 4 2
Cartesian
1.180 2.265 0.000
2.265 5.709 0.000
4.625 1.180 0.000
5.709 4.625 0.000
0.850 4.295 1.275
2.594 0.850 1.275
4.295 6.039 1.275
6.039 2.594 1.275
0.000 0.000 1.275
3.445 3.445 1.275
```


This record from Alexandria describes a relaxed Ti2VCr crystal. The functional is GGA-PBE.

Calculated values
Electronic total energy (eV for the cell shown): -34.2
Distance to the lowest polymorph of the same formula (eV per atom): 0.0018
Crystal system: tetragonal
Fermi-level density of states (states/eV/cell): 5.916
E_form (eV per atom): 0.090

The structure in POSCAR format:
```
Ti2VCr
1.0
4.393 0.000 0.000
0.000 4.393 0.000
0.000 0.000 3.095
Ti V Cr
2 1 1
Cartesian
0.000 2.197 0.000
2.197 0.000 0.000
0.000 0.000 1.548
2.197 2.197 1.548
```


This record from Alexandria describes a relaxed PmSmEr2Tl4 crystal. The functional is GGA-PBE.

Calculated values
Electronic total energy (eV for the cell shown): -30.8
Crystal system: trigonal
Fermi-level density of states (states/eV/cell): 6.264
E_form (eV per atom): -0.345

The structure in POSCAR format:
```
PmSmEr2Tl4
1.0
2.700 1.559 8.839
-2.700 1.559 8.839
0.000 -3.118 8.839
Pm Sm Er Tl
1 1 2 4
Cartesian
0.000 0.000 0.000
0.000 0.000 13.258
0.000 0.000 6.627
0.000 0.000 19.890
0.000 0.000 3.318
0.000 0.000 9.949
0.000 0.000 16.567
0.000 0.000 23.198
```


This record from Alexandria describes a relaxed ScZn2Tc crystal. The functional is GGA-PBE.

Calculated values
Electronic total energy (eV for the cell shown): -20.2
Distance to the lowest polymorph of the same formula (eV per atom): 0.0000
Crystal system: orthorhombic
Fermi-level density of states (states/eV/cell): 1.994
E_form (eV per atom): -0.239

The structure in POSCAR format:
```
ScZn2Tc
1.0
-1.952 1.958 4.080
1.952 -1.958 4.080
1.952 1.958 -4.080
Sc Zn Tc
1 2 1
Cartesian
0.000 0.000 0.000
1.952 0.000 2.041
0.000 1.958 2.039
0.000 0.000 4.080
```


This record from Alexandria describes a relaxed Sm3GaP2Rh9 crystal. The functional is GGA-PBE.

Calculated values
Electronic total energy (eV for the cell shown): -103.4
Crystal system: trigonal
Fermi-level density of states (states/eV/cell): 6.217
E_form (eV per atom): -0.616

The structure in POSCAR format:
```
Sm3GaP2Rh9
1.0
6.363 0.000 0.000
-3.182 5.511 0.000
0.000 0.000 7.824
Sm Ga P Rh
3 1 2 9
Cartesian
0.000 0.000 0.000
0.000 3.674 5.140
3.182 1.837 2.685
0.000 0.000 3.912
0.000 3.674 1.250
3.182 1.837 6.574
-1.591 2.755 0.000
0.000 1.890 2.516
-1.545 4.566 2.516
1.637 0.945 5.308
3.182 0.000 0.000
1.591 2.755 0.000
1.545 4.566 2.516
4.727 0.945 5.308
3.182 3.621 5.308
```


This record from Alexandria describes a relaxed PmPrNdTm crystal. The functional is GGA-PBE.

Calculated values
Electronic total energy (eV for the cell shown): -18.7
Distance to the lowest polymorph of the same formula (eV per atom): 0.0000
Crystal system: trigonal
Fermi-level density of states (states/eV/cell): 4.619
E_form (eV per atom): 0.019

The structure in POSCAR format:
```
PmPrNdTm
1.0
3.648 0.000 0.000
-1.824 3.159 0.000
0.000 0.000 11.767
Pm Pr Nd Tm
1 1 1 1
Cartesian
0.000 0.000 0.000
1.824 1.053 5.995
0.000 2.106 2.969
0.000 2.106 8.904
```


This record from Alexandria describes a relaxed Zn2BRh2 crystal. The functional is GGA-PBE.

Calculated values
Electronic total energy (eV for the cell shown): -51.4
Crystal system: tetragonal
Fermi-level density of states (states/eV/cell): 2.706
E_form (eV per atom): -0.352

The structure in POSCAR format:
```
Zn2BRh2
1.0
5.688 0.000 0.000
0.000 5.688 0.000
0.000 0.000 4.132
Zn B Rh
4 2 4
Cartesian
0.881 1.963 0.000
1.963 4.807 0.000
3.725 0.881 0.000
4.807 3.725 0.000
0.000 0.000 2.066
2.844 2.844 2.066
0.943 3.787 2.066
1.901 0.943 2.066
3.787 4.745 2.066
4.745 1.901 2.066
```


This record from Alexandria describes a relaxed BaGa2Sn2 crystal. The functional is GGA-PBE.

Calculated values
Electronic total energy (eV for the cell shown): -17.9
Distance to the lowest polymorph of the same formula (eV per atom): 0.0000
Crystal system: tetragonal
Fermi-level density of states (states/eV/cell): 1.967
E_form (eV per atom): -0.386

The structure in POSCAR format:
```
BaGa2Sn2
1.0
-2.557 2.557 5.317
2.557 -2.557 5.317
2.557 2.557 -5.317
Ba Ga Sn
1 2 2
Cartesian
0.000 0.000 0.000
0.000 0.000 4.028
0.000 0.000 6.607
2.557 0.000 2.659
0.000 2.557 2.659
```


This record from Alexandria describes a relaxed LaTlCr crystal. The functional is GGA-PBE.

Calculated values
Electronic total energy (eV for the cell shown): -15.5
Crystal system: trigonal
Fermi-level density of states (states/eV/cell): 2.638
E_form (eV per atom): 0.460

The structure in POSCAR format:
```
LaTlCr
1.0
3.669 0.000 0.000
-1.835 3.178 0.000
0.000 0.000 7.122
La Tl Cr
1 1 1
Cartesian
0.000 0.000 0.000
1.835 1.059 2.713
0.000 2.118 4.735
```


This record from Alexandria describes a relaxed Ba17Dy16Zn8Pt4O57 crystal. The functional is GGA-PBE.

Calculated values
Formation energy from raw total energies (eV per atom): -2.60
Electronic total energy (eV for the cell shown): -688.6
Crystal system: tetragonal
Fermi-level density of states (states/eV/cell): 0.000

The structure in POSCAR format:
```
Ba17Dy16Zn8Pt4O57
1.0
-11.569 11.569 2.885
11.569 -11.569 2.885
11.569 11.569 -2.885
Ba Dy Zn Pt O
17 16 8 4 57
Cartesian
0.000 0.000 0.000
12.920 1.567 0.000
16.733 2.600 0.000
6.191 4.375 0.000
7.193 -5.378 2.885
2.600 6.404 0.000
8.123 7.902 0.000
3.666 -3.446 2.885
1.567 10.217 0.000
10.001 1.352 2.885
7.902 15.015 0.000
3.446 3.666 2.885
8.969 5.164 2.885
4.375 16.946 0.000
5.378 7.193 2.885
-5.164 8.969 2.885
-1.352 10.001 2.885
7.545 1.147 0.000
3.974 1.214 0.000
10.355 -7.594 2.885
11.419 5.796 0.000
10.422 -4.024 2.885
11.305 9.262 0.000
2.306 -0.264 2.885
5.773 -0.149 2.885
5.796 11.718 0.000
9.262 11.833 0.000
0.264 2.306 2.885
1.147 15.592 0.000
0.149 5.773 2.885
1.214 19.163 0.000
7.594 10.355 2.885
4.024 10.422 2.885
20.045 1.750 0.000
1.750 3.092 0.000
14.363 4.926 0.000
4.926 8.774 0.000
6.643 2.795 2.885
-2.795 6.643 2.885
9.818 8.477 2.885
-8.477 9.818 2.885
9.646 3.340 0.000
8.229 -1.922 2.885
3.340 13.491 0.000
1.922 8.229 2.885
13.224 5.840 -1.452
10.072 1.275 0.000
10.932 7.501 -1.449
12.087 -3.866 1.397
8.712 -3.337 1.473
14.906 -2.856 1.412
19.440 3.642 0.000
3.642 3.697 0.000
13.084 9.497 -1.440
5.840 9.913 -1.452
9.497 10.054 -1.440
4.067 -0.636 1.436
9.065 5.350 0.000
7.703 -0.519 1.488
16.217 5.556 0.000
7.501 12.205 -1.449
15.434 0.519 1.488
5.556 6.920 0.000
2.072 1.515 1.445
5.728 1.656 1.433
-1.515 2.072 1.445
8.231 2.856 1.412
6.218 -2.504 2.885
14.425 3.337 1.473
11.050 3.866 1.397
0.636 4.067 1.436
10.294 -1.496 2.885
-1.656 5.728 1.433
0.000 0.000 2.885
13.224 5.840 1.452
1.275 13.065 0.000
10.932 7.501 1.449
0.519 7.703 1.488
-2.856 8.231 1.412
5.350 14.072 0.000
3.337 8.712 1.473
13.084 9.497 1.440
5.840 9.913 1.452
9.497 10.054 1.440
6.013 4.649 2.885
-3.866 11.050 1.397
4.067 -0.636 4.334
-4.649 6.013 2.885
3.866 12.087 1.397
2.504 6.218 2.885
7.501 12.205 1.449
2.072 1.515 4.325
5.728 1.656 4.337
-1.515 2.072 4.325
7.927 7.872 2.885
-7.872 7.927 2.885
-3.337 14.425 1.473
2.856 14.906 1.412
-0.519 15.434 1.488
0.636 4.067 4.334
1.496 10.294 2.885
-1.656 5.728 4.337
```


This record from Alexandria describes a relaxed La3Sc crystal. The functional is GGA-PBE.

Calculated values
Electronic total energy (eV for the cell shown): -20.8
Crystal system: hexagonal
Fermi-level density of states (states/eV/cell): 6.207
E_form (eV per atom): 0.072

The structure in POSCAR format:
```
La3Sc
1.0
3.598 0.000 0.000
-1.799 3.116 0.000
0.000 0.000 11.886
La Sc
3 1
Cartesian
0.000 0.000 0.000
1.799 1.039 3.191
1.799 1.039 8.695
0.000 0.000 5.943
```


This record from Alexandria describes a relaxed Sm4AsSe2 crystal. The functional is GGA-PBE.

Calculated values
Formation energy from raw total energies (eV per atom): -1.41
Electronic total energy (eV for the cell shown): -80.8
Crystal system: orthorhombic
Fermi-level density of states (states/eV/cell): 10.001

The structure in POSCAR format:
```
Sm4AsSe2
1.0
2.029 -6.764 0.000
2.029 6.764 0.000
0.000 0.000 13.926
Sm As Se
8 2 4
Cartesian
0.000 0.000 0.000
0.000 0.000 6.963
2.029 2.939 8.719
2.029 2.939 12.170
2.029 0.732 3.481
2.029 -0.732 10.444
2.029 -2.939 1.756
2.029 -2.939 5.207
2.029 5.387 3.481
2.029 -5.387 10.444
2.029 1.902 0.890
2.029 1.902 6.073
2.029 -1.902 7.853
2.029 -1.902 13.035
```


This record from Alexandria describes a relaxed SrY2Nb crystal. The functional is GGA-PBE.

Calculated values
Electronic total energy (eV for the cell shown): -22.6
Distance to the lowest polymorph of the same formula (eV per atom): 0.0000
Crystal system: cubic
Fermi-level density of states (states/eV/cell): 3.721
E_form (eV per atom): 0.516

The structure in POSCAR format:
```
SrY2Nb
1.0
0.000 3.931 3.931
3.931 0.000 3.931
3.931 3.931 0.000
Sr Y Nb
1 2 1
Cartesian
0.000 0.000 0.000
1.966 1.966 1.966
5.897 5.897 5.897
3.931 3.931 3.931
```


This record from Alexandria describes a relaxed PrHfPaO6 crystal. The functional is GGA-PBE.

Calculated values
Formation energy from raw total energies (eV per atom): -3.50
Electronic total energy (eV for the cell shown): -170.9
Crystal system: trigonal
Fermi-level density of states (states/eV/cell): 0.000

The structure in POSCAR format:
```
PrHfPaO6
1.0
5.719 0.000 0.000
-2.860 4.953 0.000
0.000 0.000 9.914
Pr Hf Pa O
2 2 2 12
Cartesian
0.000 0.000 0.000
0.000 0.000 4.957
0.000 3.302 2.479
2.860 1.651 7.436
0.000 3.302 7.436
2.860 1.651 2.479
-0.967 1.794 1.384
-1.790 3.218 3.573
0.967 1.794 3.573
-0.823 4.894 1.384
2.037 0.059 6.341
1.070 1.734 8.530
1.790 3.218 1.384
0.823 4.894 3.573
3.682 0.059 8.530
1.892 3.159 6.341
4.649 1.734 6.341
3.827 3.159 8.530
```


This record from Alexandria describes a relaxed Li3NbCl crystal. The functional is GGA-PBE.

Calculated values
Formation energy from raw total energies (eV per atom): 0.86
Electronic total energy (eV for the cell shown): -13.4
Distance to the lowest polymorph of the same formula (eV per atom): 0.6720
Crystal system: cubic
Fermi-level density of states (states/eV/cell): 0.148

The structure in POSCAR format:
```
Li3NbCl
1.0
5.412 0.000 0.000
0.000 5.412 0.000
0.000 0.000 5.412
Li Nb Cl
3 1 1
Cartesian
0.000 0.000 2.706
0.000 2.706 0.000
2.706 0.000 0.000
0.000 0.000 0.000
2.706 2.706 2.706
```


This record from Alexandria describes a relaxed MnPb4 crystal. The functional is GGA-PBE.

Calculated values
Electronic total energy (eV for the cell shown): -22.9
Crystal system: tetragonal
Fermi-level density of states (states/eV/cell): 2.971
E_form (eV per atom): 0.221

The structure in POSCAR format:
```
MnPb4
1.0
-4.554 4.554 1.683
4.554 -4.554 1.683
4.554 4.554 -1.683
Mn Pb
1 4
Cartesian
0.000 0.000 0.000
5.254 2.096 0.000
2.096 3.854 0.000
2.457 0.700 1.683
-0.700 2.457 1.683
```


This record from Alexandria describes a relaxed ReSi2Ir crystal. The functional is GGA-PBE.

Calculated values
Formation energy from raw total energies (eV per atom): -0.20
Electronic total energy (eV for the cell shown): -32.9
Distance to the lowest polymorph of the same formula (eV per atom): 0.1865
Crystal system: trigonal
Fermi-level density of states (states/eV/cell): 2.511

The structure in POSCAR format:
```
ReSi2Ir
1.0
1.929 1.114 4.665
-1.929 1.114 4.665
0.000 -2.228 4.665
Re Si Ir
1 2 1
Cartesian
0.000 0.000 0.000
0.000 0.000 3.245
0.000 0.000 5.683
0.000 0.000 11.369
```


| no. | total moment (μB/f.u.) |
| --- | --- |
| 1 | 0.00 |
| 2 | 0.00 |
| 3 | 0.00 |
| 4 | 0.00 |
| 5 | 0.31 |
| 6 | 0.00 |
| 7 | 0.00 |
| 8 | 0.00 |
| 9 | 0.00 |
| 10 | 0.00 |
| 11 | 0.00 |
| 12 | 3.79 |
| 13 | 0.00 |
| 14 | 0.00 |
| 15 | 0.00 |
| 16 | 3.60 |
| 17 | 0.00 |
| 18 | 5.00 |
| 19 | 3.79 |
| 20 | 0.00 |